The following is a PBE calculation of Ca8Mg3Zn2 after structural relaxation, from Alexandria via LeMat-Bulk.

Unit cell a=5.724 b=8.904 c=9.557 alpha=117.77 beta=90.00 gamma=90.00
Fractional positions:
Ca (0.000, 0.691, 0.382)
Ca (0.000, 0.309, 0.618)
Ca (0.000, 0.108, 0.215)
Ca (0.000, 0.892, 0.785)
Ca (0.500, 0.592, 0.752)
Ca (0.500, 0.160, 0.752)
Ca (0.500, 0.840, 0.248)
Ca (0.500, 0.408, 0.248)
Mg (0.500, 0.000, 0.000)
Mg (0.000, 0.328, 0.000)
Mg (0.000, 0.672, 0.000)
Zn (0.500, 0.225, 0.449)
Zn (0.500, 0.775, 0.551)

Calculated values
Energy relative to the elements   -0.016 eV per atom
VASP energy   -1.81 eV per atom